Computed, not measured: a relaxed Lu2InSi crystal at the PBE level of DFT.

Calculated values
- DOS(E_F) (states/eV per atom) = 0.771
- calculated volume (Å³/atom) = 22.64
- formation energy from raw total energies (kJ/mol of formula units) = -171

abc: 3.268 3.268 8.483
angles: 90.00 90.00 90.00
Space group P4/mmm (No. 123)
One atom of each set of equivalent atoms:
Lu 0.000 0.000 0.216 [2 per cell]
In 0.500 0.500 0.500 [1 per cell]
Si 0.500 0.500 0.000 [1 per cell]